Entry 1:
6
Lattice="-0.9093 5.5746 5.3691 1.1158 -7.3903 2.2066 3.1633 0.4867 0.0304" Properties=species:S:1:pos:R:3 comment="AgTe (GGA-PBE, relaxed)" e_form_raw_ev_per_atom=-0.001 energy_ev_per_cell=-18.0 n_ef_per_ev_atom=0.6436 mass_density_g_cm3=7.0 total_magnetization_mub_per_fu=0.0 pbc="T T T"
Ag -0.5094 2.9262 6.1599
Ag 0.1325 -1.1650 4.8609
Ag -0.3258 1.9977 1.9241
Te 0.0000 0.0000 0.0000
Te 1.3474 1.4963 4.3302
Te 2.0224 -2.8253 3.2760


Entry 2:
5
Lattice="-0.3403 5.2805 0.6833 -3.7176 -0.7258 3.7576 3.8119 -0.2365 3.7256" Properties=species:S:1:pos:R:3 comment="Ag4Te (GGA-PBE, relaxed)" e_form_raw_ev_per_atom=0.580 polymorph_energy_mev_per_atom=537.5 energy_ev_per_cell=-11.6 n_ef_per_ev_atom=0.3695 mass_density_g_cm3=6.1 total_magnetization_mub_per_fu=0.0 pbc="T T T"
Te -0.1230 2.1591 4.0833
Ag 0.0000 0.0000 0.0000
Ag 1.7358 2.5220 2.2045
Ag 0.0471 -0.4812 3.7416
Ag -2.0289 2.2774 2.2205


Entry 3:
4
Lattice="4.1307 0.0000 0.0000 -2.0653 3.5773 0.0000 0.0000 0.0000 7.8387" Properties=species:S:1:pos:R:3 comment="AgTe3 (GGA-PBE, relaxed)" e_form_raw_ev_per_atom=0.160 energy_ev_per_cell=-11.6 n_ef_per_ev_atom=0.6095 mass_density_g_cm3=7.0 total_magnetization_mub_per_fu=0.0 pbc="T T T"
Te 0.0000 0.0000 3.9194
Te 2.0653 1.1924 1.7590
Te 2.0653 1.1924 6.0797
Ag 0.0000 0.0000 0.0000


Entry 4:
12
Lattice="7.7936 0.0000 0.0000 0.0000 7.7936 0.0000 0.0000 0.0000 7.7936" Properties=species:S:1:pos:R:3 comment="AgTe (GGA-PBE, relaxed)" e_form_raw_ev_per_atom=0.136 energy_ev_per_cell=-34.3 n_ef_per_ev_atom=1.2508 mass_density_g_cm3=5.0 total_magnetization_mub_per_fu=0.0 pbc="T T T"
Ag 1.9484 3.8968 0.0000
Ag 5.8452 3.8968 0.0000
Ag 3.8968 0.0000 1.9484
Ag 3.8968 0.0000 5.8452
Ag 0.0000 1.9484 3.8968
Ag 0.0000 5.8452 3.8968
Te 1.9484 0.0000 3.8968
Te 5.8452 0.0000 3.8968
Te 0.0000 3.8968 1.9484
Te 0.0000 3.8968 5.8452
Te 3.8968 1.9484 0.0000
Te 3.8968 5.8452 0.0000


Entry 5:
18
Lattice="9.1993 0.0000 0.0000 -4.5997 7.9668 0.0000 0.0000 0.0000 6.7205" Properties=species:S:1:pos:R:3 comment="Ag5Te4 (GGA-PBE, relaxed)" e_form_raw_ev_per_atom=0.110 polymorph_energy_mev_per_atom=95.6 energy_ev_per_cell=-51.7 n_ef_per_ev_atom=0.2430 mass_density_g_cm3=7.1 total_magnetization_mub_per_fu=0.0 pbc="T T T"
Te 0.0000 0.0000 0.0000
Te 0.0000 0.0000 3.3603
Te -2.1613 3.7434 1.6801
Te 2.4384 4.2234 1.6801
Te 4.3225 0.0000 1.6801
Te -2.4384 4.2234 5.0404
Te 2.1613 3.7434 5.0404
Te 4.8768 0.0000 5.0404
Ag -3.4822 6.0313 1.6801
Ag 1.1175 1.9355 1.6801
Ag 6.9644 0.0000 1.6801
Ag -1.1175 1.9355 5.0404
Ag 3.4822 6.0313 5.0404
Ag 2.2349 0.0000 5.0404
Ag 4.5997 2.6556 0.0000
Ag 0.0000 5.3112 3.3603
Ag 0.0000 5.3112 0.0000
Ag 4.5997 2.6556 3.3603


Entry 6:
14
Lattice="4.5879 0.0000 -1.9644 -0.3060 7.4433 -0.7146 0.9986 1.2880 8.6720" Properties=species:S:1:pos:R:3 comment="Ag5Te2 (GGA-PBE, relaxed)" e_form_raw_ev_per_atom=0.050 polymorph_energy_mev_per_atom=27.0 energy_ev_per_cell=-40.4 n_ef_per_ev_atom=0.2161 mass_density_g_cm3=8.4 total_magnetization_mub_per_fu=0.0 pbc="T T T"
Ag 2.7396 6.0602 1.8487
Ag 1.0925 6.3927 4.3418
Ag 2.5410 2.6711 4.1444
Ag 4.1880 2.3385 1.6513
Ag 3.8487 1.8608 -1.8593
Ag 0.4333 5.5824 -0.8197
Ag 3.1381 4.5350 -0.6925
Ag 3.2066 7.9178 5.8072
Ag 2.1424 4.1962 6.6857
Ag 2.0739 0.8134 0.1859
Te 3.8202 5.3906 4.4765
Te 4.5245 7.0623 -0.2182
Te 1.4604 3.3406 1.5166
Te 0.7560 1.6690 6.2113


Entry 7:
6
Lattice="-2.1465 5.9911 -2.2352 -4.4477 -4.8909 1.3392 -0.3318 1.4620 4.2373" Properties=species:S:1:pos:R:3 comment="AgTe (GGA-PBE, relaxed)" e_form_raw_ev_per_atom=0.282 energy_ev_per_cell=-16.3 n_ef_per_ev_atom=0.5282 mass_density_g_cm3=6.6 total_magnetization_mub_per_fu=0.0 pbc="T T T"
Ag 0.0000 0.0000 0.0000
Ag -3.8466 -0.5326 2.2664
Ag -3.0795 3.0948 1.0750
Te -1.0732 2.9956 -1.1176
Te -2.2239 -2.4455 0.6696
Te -3.2971 0.5501 -0.4480


Entry 8:
12
Lattice="-12.3424 1.7449 -7.4015 -14.3328 1.4479 -1.6228 13.6158 1.4401 4.7640" Properties=species:S:1:pos:R:3 comment="Ag2Te (GGA-PBE, relaxed)" e_form_raw_ev_per_atom=0.050 energy_ev_per_cell=-34.8 n_ef_per_ev_atom=0.3908 mass_density_g_cm3=8.6 total_magnetization_mub_per_fu=0.0 pbc="T T T"
Te -24.6824 2.9542 -8.3501
Te -1.9928 0.2385 -0.6742
Te -5.0345 2.0036 -0.0113
Te -9.0201 2.4807 -1.3596
Ag -20.0262 2.3969 -6.7749
Ag -6.6490 0.7958 -2.2493
Ag -0.3783 1.4463 1.5639
Ag -13.6763 3.0380 -2.9348
Ag -15.3509 1.8373 -5.1932
Ag -11.3243 1.3554 -3.8310
Ag -8.0454 2.6316 -4.2559
Ag -4.0187 2.1497 -2.8937


Entry 9:
4
Lattice="-3.0775 -2.3634 -2.3994 -1.4979 -0.8236 2.7325 -4.9690 5.5469 0.9097" Properties=species:S:1:pos:R:3 comment="AgTe (GGA-PBE, relaxed)" e_form_raw_ev_per_atom=-0.018 energy_ev_per_cell=-12.1 n_ef_per_ev_atom=0.6685 mass_density_g_cm3=7.3 total_magnetization_mub_per_fu=0.0 pbc="T T T"
Te -4.0414 2.5790 2.6434
Te -3.8453 -1.0414 1.6206
Ag -4.8185 5.1550 1.1027
Ag -6.5399 2.7527 1.3397


Entry 10:
24
Lattice="-2.1584 3.9008 4.1016 3.5905 -4.2719 5.9522 10.7381 7.2678 -1.2614" Properties=species:S:1:pos:R:3 comment="AgTe (GGA-PBE, relaxed)" e_form_raw_ev_per_atom=0.049 energy_ev_per_cell=-70.7 n_ef_per_ev_atom=0.5900 mass_density_g_cm3=7.3 total_magnetization_mub_per_fu=0.0 pbc="T T T"
Ag 0.8532 1.5984 1.1656
Ag 11.3171 5.2984 7.6268
Ag 10.9433 5.0766 3.1674
Ag 1.2269 1.8201 5.6251
Ag 6.8275 2.8429 3.1259
Ag 5.3428 4.0538 5.6666
Ag 7.9681 0.2638 6.1789
Ag 4.2022 6.6329 2.6135
Ag 3.3080 -2.7876 4.3919
Ag 9.9414 7.7339 2.3497
Ag 11.0206 5.7835 0.2989
Ag 2.2288 -0.8372 6.4427
Te 2.1320 0.1023 3.2614
Te 10.0383 6.7944 5.5311
Te 12.1949 3.5621 5.2663
Te -0.0246 3.3346 3.5261
Te 5.2184 -0.4741 5.4338
Te 6.9518 7.3708 3.3587
Te 8.3738 5.0126 1.8761
Te 3.7965 1.8842 6.9163
Te 9.1525 1.1681 3.7054
Te 4.0969 3.7782 3.0363
Te 5.1761 1.8278 0.9855
Te 8.0733 3.1185 5.7562


Entry 11:
11
Lattice="7.0709 0.0000 0.0877 3.5354 6.1453 0.0438 2.5069 0.0000 6.9586" Properties=species:S:1:pos:R:3 comment="Ag5Te6 (GGA-PBE, relaxed)" e_form_raw_ev_per_atom=0.050 energy_ev_per_cell=-32.6 n_ef_per_ev_atom=0.5654 mass_density_g_cm3=7.2 total_magnetization_mub_per_fu=0.0 pbc="T T T"
Ag 4.7889 0.0000 3.5231
Ag 3.5354 1.9810 0.0438
Ag 7.0709 4.1643 0.0877
Ag 4.7889 4.0005 3.5231
Ag 8.3243 2.1448 3.5670
Te 7.1072 0.0000 5.0184
Te 2.4706 0.0000 2.0278
Te 7.3371 4.0520 5.3768
Te 9.3115 4.0520 1.7572
Te 5.7761 2.0933 1.7133
Te 3.8017 2.0933 5.3329


Entry 12:
21
Lattice="-0.9860 3.2552 -3.0132 -3.5831 -1.3178 3.1621 7.0949 17.4012 18.7409" Properties=species:S:1:pos:R:3 comment="Ag2Te (GGA-PBE, relaxed)" e_form_raw_ev_per_atom=-0.015 energy_ev_per_cell=-62.2 n_ef_per_ev_atom=0.1832 mass_density_g_cm3=7.5 total_magnetization_mub_per_fu=0.0 pbc="T T T"
Ag 3.5632 15.9264 14.4106
Ag 5.8230 14.7311 15.7994
Ag 3.2558 13.0584 14.8745
Ag 2.4555 11.7663 12.3750
Ag 3.1838 12.7404 9.5980
Ag 2.8500 10.1363 8.0749
Ag 0.0655 9.7936 8.6603
Ag -1.0542 6.0096 4.8957
Ag 1.0531 5.6474 7.2265
Ag 0.3852 1.9384 1.2271
Ag -0.2695 6.7462 2.1123
Ag -2.0706 3.0289 5.5685
Ag -2.4947 1.3474 1.5118
Ag -1.7202 2.2703 -1.2101
Te 3.6138 16.1171 21.0900
Te 3.4835 15.3909 17.2528
Te 4.0204 14.1004 12.2425
Te 1.3772 9.1765 13.1563
Te 1.8270 7.5102 9.0651
Te -1.8267 5.1610 7.6241
Te -1.3560 3.6404 2.8188